Compound: CeMgPd6
Source: the Alexandria database
Functional: PBE
Structure: optimized geometry

Cell lengths 4.1205, 4.1205, 7.9157 Å; angles 90.00, 90.00, 90.00 degrees
Fractional coordinates of all 8 atoms:
Pd 0.5000 0.0000 0.2424
Pd 0.0000 0.5000 0.7576
Pd 0.5000 0.5000 0.0000
Pd 0.0000 0.5000 0.2424
Pd 0.5000 0.0000 0.7576
Pd 0.5000 0.5000 0.5000
Ce 0.0000 0.0000 0.5000
Mg 0.0000 0.0000 0.0000

Output
Crystal system: tetragonal
Energy of formation in eV per atom: -0.6749
Total DFT energy (no corrections) in eV/f.u.: -44.1